1.
Compound: CeAl2Ag4
Source: Alexandria via LeMat-Bulk
Functional: PBE-GGA
Structure: optimized geometry

calculated formation energy: -1.28 eV/f.u.
volume: 134.8 Å³/f.u.

Unit cell a=7.0307 b=7.0307 c=5.4543 alpha=90.00 beta=90.00 gamma=90.00
Space group I4/mmm (No. 139)
Asymmetric unit:
Ce1 0.0000 0.0000 0.0000 (multiplicity 2)
Al1 0.0000 0.5000 0.2500 (multiplicity 4)
Ag1 0.1972 0.1972 0.5000 (multiplicity 8)

2.
Compound: KScPt2
Source: Alexandria via LeMat-Bulk
Functional: PBE-GGA
Structure: optimized geometry

calculated formation energy: -1.11 eV/f.u.
volume: 84.9 Å³/f.u.

Unit cell a=2.9458 b=5.1327 c=11.2329 alpha=90.00 beta=90.00 gamma=90.00
Space group Imm2 (No. 44)
Asymmetric unit:
K1 0.0000 0.0000 0.0000 (multiplicity 2)
Sc1 0.0000 0.5000 0.8034 (multiplicity 2)
Pt1 0.0000 0.0000 0.5034 (multiplicity 2)
Pt2 0.0000 0.5000 0.2199 (multiplicity 2)